# 1
Compound: Tm6CN4
Source: Alexandria
Functional: PBE-GGA
Structure: relaxed

Cell lengths 10.1380, 10.1380, 11.7948 Å; angles 90.00, 90.00, 120.00 degrees
Last column: nearest neighbours and their distance in Å.
Space group R-3c (No. 167, hexagonal axes)
Symmetry-distinct sites (fractional):
Tm 0.0572 0.2011 0.3865 x36  1 C 2.26, 3 N 2.43-2.46
C 0.0000 0.0000 0.0000 x6  6 Tm 2.26
N 0.0000 0.0000 0.2500 x6  6 Tm 2.43
N 0.0000 0.3472 0.2500 x18  4 Tm 2.45-2.46

Results
- Uncorrected formation energy: -0.74 eV/atom



# 2
Compound: TmC2N3
Source: Alexandria
Functional: PBE-GGA
Structure: relaxed

Cell lengths 5.8787, 7.5864, 3.5627 Å; angles 90.00, 90.00, 90.00 degrees
Last column: nearest neighbours and their distance in Å.
Space group Cmm2 (No. 35)
Symmetry-distinct sites (fractional):
Tm 0.0000 0.0000 0.0000 x2  4 N 2.23-2.35
C 0.0000 0.3403 0.3763 x4  2 N 1.25-1.33
N 0.0000 0.1896 0.5206 x4  1 C 1.25
N 0.0000 0.5000 0.5333 x2  2 C 1.33

Results
- Uncorrected formation energy: 0.09 eV/atom



# 3
Compound: TmCN
Source: Alexandria
Functional: PBE-GGA
Structure: relaxed

Cell lengths 6.5347, 3.3449, 5.9200 Å; angles 90.00, 90.00, 90.00 degrees
Last column: nearest neighbours and their distance in Å.
Space group Pnma (No. 62)
Symmetry-distinct sites (fractional):
Tm 0.1902 0.2500 0.1570 x4  5 N 2.34-2.43, 4 C 2.53-2.56
C 0.0301 0.2500 0.5487 x4  1 N 1.43
N 0.0661 0.2500 0.7869 x4  1 C 1.43

Results
- Energy above the most stable polymorph in this dataset: 0 meV/atom
- Uncorrected formation energy: -0.60 eV/atom



# 4
Compound: Tm8C3N2
Source: Alexandria
Functional: PBE-GGA
Structure: relaxed

Cell lengths 12.0779, 7.0092, 6.1560 Å; angles 90.00, 109.34, 90.00 degrees
Last column: nearest neighbours and their distance in Å.
Space group C2/m (No. 12)
Symmetry-distinct sites (fractional):
Tm 0.1184 0.0000 0.2408 x4  3 C 2.45-2.47, 1 N 2.54
Tm 0.1228 0.5000 0.2195 x4  1 N 2.33, 2 C 2.38
Tm 0.1257 0.2391 0.7663 x8  2 N 2.37-2.52, 2 C 2.41-2.48
C 0.0000 0.0000 0.5000 x2  6 Tm 2.47-2.48
C 0.0000 0.2538 0.0000 x4  6 Tm 2.38-2.45
N 0.2494 0.0000 0.9921 x4  6 Tm 2.33-2.54

Results
- Uncorrected formation energy: -0.77 eV/atom



# 5
Compound: TmCN
Source: Alexandria
Functional: PBE-GGA
Structure: relaxed

Cell lengths 3.5233, 3.5233, 5.9757 Å; angles 90.00, 90.00, 90.00 degrees
Last column: nearest neighbours and their distance in Å.
Space group I4mm (No. 107)
Symmetry-distinct sites (fractional):
Tm 0.0000 0.0000 0.0000 x2  5 N 2.33-2.58, 5 C 2.36-2.57
C 0.0000 0.0000 0.6051 x2  1 N 1.29
N 0.0000 0.0000 0.3897 x2  1 C 1.29

Results
- Energy above the most stable polymorph in this dataset: 88 meV/atom
- Uncorrected formation energy: -0.51 eV/atom



# 6
Compound: TmUCN
Source: Alexandria
Functional: PBE-GGA
Structure: relaxed

Cell lengths 3.4789, 3.4789, 16.9095 Å; angles 90.00, 90.00, 120.00 degrees
Last column: nearest neighbours and their distance in Å.
Space group R3m (No. 160, hexagonal axes)
Symmetry-distinct sites (fractional):
Tm 0.0000 0.0000 0.0000 x3  3 N 2.49, 3 C 2.53
U 0.0000 0.0000 0.5013 x3  3 C 2.39, 3 N 2.41
C 0.0000 0.0000 0.7580 x3  3 U 2.39, 3 Tm 2.53
N 0.0000 0.0000 0.2463 x3  3 U 2.41, 3 Tm 2.49

Results
- Uncorrected formation energy: -0.93 eV/atom



# 7
Compound: TmZrCN
Source: Alexandria
Functional: PBE-GGA
Structure: relaxed

Cell lengths 3.0319, 3.1631, 11.5841 Å; angles 90.00, 90.00, 90.00 degrees
Last column: nearest neighbours and their distance in Å.
Space group Imm2 (No. 44)
Symmetry-distinct sites (fractional):
Tm 0.0000 0.0000 0.0000 x2  4 N 2.42, 2 C 2.57
Zr 0.0000 0.5000 0.2441 x2  2 N 2.35, 4 C 2.38
C 0.0000 0.5000 0.8246 x2  4 Zr 2.38, 2 Tm 2.57
N 0.0000 0.0000 0.5887 x2  2 Zr 2.35, 4 Tm 2.42

Results
- Uncorrected formation energy: -0.62 eV/atom



# 8
Compound: U3CN2
Source: Alexandria
Functional: PBE-GGA
Structure: relaxed

Cell lengths 3.4780, 4.8953, 10.3423 Å; angles 90.00, 90.00, 90.00 degrees
Last column: nearest neighbours and their distance in Å.
Space group Immm (No. 71)
Symmetry-distinct sites (fractional):
U 0.0000 0.0000 0.0000 x2  4 N 2.43, 2 C 2.45
U 0.0000 0.0000 0.3309 x4  4 N 2.45, 2 C 2.47
C 0.0000 0.5000 0.0000 x2  6 U 2.45-2.47
N 0.0000 0.5000 0.3355 x4  6 U 2.43-2.45

Results
- Uncorrected formation energy: -0.93 eV/atom



# 9
Compound: U4C2N
Source: Alexandria
Functional: PBE-GGA
Structure: relaxed

Cell lengths 3.5124, 3.5124, 30.2051 Å; angles 90.00, 90.00, 120.00 degrees
Last column: nearest neighbours and their distance in Å.
Space group R-3m (No. 166, hexagonal axes)
Symmetry-distinct sites (fractional):
U 0.0000 0.0000 0.1399 x6  3 C 2.51, 3 U 2.59
U 0.0000 0.0000 0.2884 x6  3 N 2.44, 3 C 2.45
C 0.0000 0.0000 0.4240 x6  6 U 2.45-2.51
N 0.0000 0.0000 0.0000 x3  6 U 2.44

Results
- Uncorrected formation energy: -0.48 eV/atom



# 10
Compound: U6C5N
Source: Alexandria
Functional: PBE-GGA
Structure: relaxed

Cell lengths 6.0243, 10.4649, 6.0517 Å; angles 90.00, 109.50, 90.00 degrees
Last column: nearest neighbours and their distance in Å.
Space group C2/m (No. 12)
Symmetry-distinct sites (fractional):
U 0.2487 0.0000 0.2507 x4  1 N 2.46, 5 C 2.47
U 0.2490 0.1659 0.7493 x8  1 N 2.46, 5 C 2.46-2.47
C 0.0000 0.1673 0.0000 x4  6 U 2.46-2.47
C 0.0000 0.3334 0.5000 x4  6 U 2.47
C 0.0000 0.5000 0.0000 x2  6 U 2.46-2.47
N 0.0000 0.0000 0.5000 x2  6 U 2.46

Results
- Uncorrected formation energy: -0.32 eV/atom



# 11
Compound: U6C3N
Source: Alexandria
Functional: PBE-GGA
Structure: relaxed

Cell lengths 5.7694, 5.7891, 6.0642 Å; angles 65.89, 85.23, 60.72 degrees
Last column: nearest neighbours and their distance in Å.
Space group P-1 (No. 2)
Symmetry-distinct sites (fractional):
U 0.0548 0.0097 0.2824 x2  3 C 2.46-2.52, 1 U 2.63, 1 N 2.65
U 0.2743 0.2945 0.7352 x2  1 N 2.23, 2 C 2.40-2.41
U 0.3735 0.3538 0.2662 x2  1 N 2.24, 3 C 2.37-2.43
C 0.0000 0.5000 0.0000 x1  6 U 2.38-2.52
C 0.3367 0.8207 0.9986 x2  6 U 2.37-2.52
N 0.5000 0.5000 0.5000 x1  4 U 2.23-2.24

Results
- Uncorrected formation energy: -0.21 eV/atom



# 12
Compound: U3C2N
Source: Alexandria
Functional: PBE-GGA
Structure: relaxed

Cell lengths 10.9768, 4.9111, 7.0006 Å; angles 90.00, 108.58, 90.00 degrees
Last column: nearest neighbours and their distance in Å.
Space group C2/c (No. 15)
Symmetry-distinct sites (fractional):
U 0.0000 0.9997 0.2500 x4  2 N 2.45-2.46, 4 C 2.47
U 0.1648 0.4999 0.0824 x8  2 N 2.45, 4 C 2.46-2.47
C 0.1677 0.9998 0.0839 x8  6 U 2.46-2.47
N 0.0000 0.4993 0.2500 x4  6 U 2.45-2.46

Results
- Energy above the most stable polymorph in this dataset: 0 meV/atom
- Uncorrected formation energy: -0.52 eV/atom



# 13
Compound: U3C2N
Source: Alexandria
Functional: PBE-GGA
Structure: relaxed

Cell lengths 6.9180, 9.8482, 21.0016 Å; angles 90.00, 90.00, 90.00 degrees
Last column: nearest neighbours and their distance in Å.
Space group Fddd (No. 70, origin choice 2)
Symmetry-distinct sites (fractional):
U 0.1229 0.3750 0.3750 x16  2 N 2.45, 4 C 2.46-2.47
U 0.1237 0.3740 0.2088 x32  2 N 2.45, 4 C 2.46-2.47
C 0.1250 0.1250 0.3756 x16  6 U 2.46-2.47
C 0.1250 0.1250 0.5419 x16  6 U 2.46-2.47
N 0.1250 0.1250 0.0418 x16  6 U 2.45

Results
- Energy above the most stable polymorph in this dataset: 2 meV/atom
- Uncorrected formation energy: -0.52 eV/atom



# 14
Compound: U6CN5
Source: Alexandria
Functional: PBE-GGA
Structure: relaxed

Cell lengths 5.9798, 10.3639, 5.9765 Å; angles 90.00, 109.49, 90.00 degrees
Last column: nearest neighbours and their distance in Å.
Space group C2/m (No. 12)
Symmetry-distinct sites (fractional):
U 0.2478 0.0000 0.2512 x4  5 N 2.42-2.44, 1 C 2.46
U 0.2482 0.1680 0.7485 x8  5 N 2.44, 1 C 2.46
C 0.0000 0.5000 0.0000 x2  6 U 2.46
N 0.0000 0.0000 0.5000 x2  6 U 2.42-2.44
N 0.0000 0.1668 0.0000 x4  6 U 2.44
N 0.0000 0.3360 0.5000 x4  6 U 2.42-2.44

Results
- Uncorrected formation energy: -1.12 eV/atom



# 15
Compound: U6C4N
Source: Alexandria
Functional: PBE-GGA
Structure: relaxed

Cell lengths 9.4936, 9.4936, 12.1683 Å; angles 90.00, 90.00, 120.00 degrees
Last column: nearest neighbours and their distance in Å.
Space group R-3c (No. 167, hexagonal axes)
Symmetry-distinct sites (fractional):
U 0.0418 0.2153 0.3827 x36  1 N 2.36, 4 C 2.48-2.59, 1 U 2.60
C 0.0000 0.0000 0.2500 x6  6 U 2.48
C 0.0000 0.4000 0.2500 x18  8 U 2.56-2.65
N 0.0000 0.0000 0.0000 x6  6 U 2.36

Results
- Uncorrected formation energy: -0.13 eV/atom



# 16
Compound: YUCN
Source: Alexandria
Functional: PBE-GGA
Structure: relaxed

Cell lengths 3.5158, 3.5158, 17.0546 Å; angles 90.00, 90.00, 120.00 degrees
Last column: nearest neighbours and their distance in Å.
Space group R3m (No. 160, hexagonal axes)
Symmetry-distinct sites (fractional):
Y 0.0000 0.0000 0.0000 x3  3 N 2.56, 3 C 2.59
U 0.0000 0.0000 0.4985 x3  3 C 2.39, 3 N 2.39
C 0.0000 0.0000 0.2389 x3  3 U 2.39, 3 Y 2.59
N 0.0000 0.0000 0.7580 x3  3 U 2.39, 3 Y 2.56

Results
- Uncorrected formation energy: -0.89 eV/atom



# 17
Compound: V3CN
Source: Alexandria
Functional: PBE-GGA
Structure: relaxed

Cell lengths 4.8407, 4.8407, 5.1286 Å; angles 90.00, 90.00, 120.00 degrees
Last column: nearest neighbours and their distance in Å.
Space group P-6c2 (No. 188)
Symmetry-distinct sites (fractional):
V 0.0029 0.3526 0.2500 x6  2 N 2.02, 2 C 2.04
C 0.6667 0.3333 0.0000 x2  6 V 2.04
N 0.3333 0.6667 0.0000 x2  6 V 2.02

Results
- Energy above the most stable polymorph in this dataset: 0 meV/atom
- Uncorrected formation energy: -0.57 eV/atom



# 18
Compound: V2CN
Source: Alexandria
Functional: PBE-GGA
Structure: relaxed

Cell lengths 4.1344, 4.1344, 8.3520 Å; angles 90.00, 90.00, 90.00 degrees
Last column: nearest neighbours and their distance in Å.
Space group I4_1/amd (No. 141, origin choice 2)
Symmetry-distinct sites (fractional):
V 0.0000 0.2500 0.1175 x8  3 C 2.03-2.07, 3 N 2.07-2.15
C 0.0000 0.2500 0.8750 x4  6 V 2.03-2.07
N 0.0000 0.2500 0.3750 x4  6 V 2.07-2.15

Results
- Energy above the most stable polymorph in this dataset: 19 meV/atom
- Uncorrected formation energy: -0.71 eV/atom



# 19
Compound: V4CN
Source: Alexandria
Functional: PBE-GGA
Structure: relaxed

Cell lengths 6.7199, 6.7199, 5.8455 Å; angles 90.00, 90.00, 90.00 degrees
Last column: nearest neighbours and their distance in Å.
Space group I4_1md (No. 109)
Symmetry-distinct sites (fractional):
V 0.0000 0.2944 0.0000 x8  2 N 1.98-1.99, 1 C 2.01
V 0.0000 0.2973 0.4967 x8  2 C 2.00-2.02, 1 N 2.00
C 0.0000 0.0000 0.5009 x4  6 V 2.00-2.02
N 0.0000 0.0000 0.9956 x4  6 V 1.98-2.00

Results
- Energy above the most stable polymorph in this dataset: 35 meV/atom
- Uncorrected formation energy: -0.67 eV/atom



# 20
Compound: V6CN2
Source: Alexandria
Functional: PBE-GGA
Structure: relaxed

Cell lengths 4.7425, 4.7425, 8.7435 Å; angles 90.00, 90.00, 90.00 degrees
Last column: nearest neighbours and their distance in Å.
Space group P4_2/mnm (No. 136)
Symmetry-distinct sites (fractional):
V 0.2038 0.2038 0.0000 x4  1 C 1.99, 2 N 2.00
V 0.2056 0.2056 0.3314 x8  2 N 1.97-1.99, 1 C 2.02
C 0.0000 0.0000 0.5000 x2  6 V 1.99-2.02
N 0.0000 0.0000 0.1668 x4  6 V 1.97-2.00

Results
- Uncorrected formation energy: -0.74 eV/atom



# 21
Compound: VCN2
Source: Alexandria
Functional: PBE-GGA
Structure: relaxed

Cell lengths 2.8900, 2.8900, 10.1423 Å; angles 90.00, 90.00, 120.00 degrees
Last column: nearest neighbours and their distance in Å.
Space group P6_3/mmc (No. 194)
Symmetry-distinct sites (fractional):
V 0.0000 0.0000 0.0000 x2  6 N 2.11
C 0.3333 0.6667 0.2500 x2  2 N 1.24
N 0.3333 0.6667 0.1273 x4  1 C 1.24

Results
- Uncorrected formation energy: -0.14 eV/atom



# 22
Compound: V2CN
Source: Alexandria
Functional: PBE-GGA
Structure: relaxed

Cell lengths 2.9230, 2.9230, 4.1671 Å; angles 90.00, 90.00, 90.00 degrees
Last column: nearest neighbours and their distance in Å.
Space group P4/mmm (No. 123)
Symmetry-distinct sites (fractional):
V 0.0000 0.0000 0.0000 x1  4 N 2.07, 2 C 2.08
V 0.5000 0.5000 0.5000 x1  4 C 2.07, 2 N 2.08
C 0.0000 0.0000 0.5000 x1  6 V 2.07-2.08
N 0.5000 0.5000 0.0000 x1  6 V 2.07-2.08

Results
- Energy above the most stable polymorph in this dataset: 38 meV/atom
- Uncorrected formation energy: -0.69 eV/atom